Entry 1:
PmPuS2N | GGA-PBE | relaxed

The structure belongs to space group P4/nmm (No. 129, origin choice 2); the cell edges are 3.873, 3.873 and 14.086 Å and the angles 90.00°, 90.00° and 90.00°. The inequivalent atoms are Pm at (0.250, 0.250, 0.128), Pu at (0.250, 0.250, 0.581), S at (0.250, 0.250, 0.316), S at (0.250, 0.250, 0.909) and N at (0.250, 0.750, 0.500).

As for the density of states at the Fermi level: 11.3 states/eV per cell. As for the uncorrected formation energy: -160.0 kJ per mole of atoms. As for the calculated density: 7342 kg/m³. As for the magnetic moment: 3.79 μB per formula unit.

Entry 2:
Rb3Tm3VTe8 | GGA-PBE | relaxed

The structure belongs to space group C2/m (No. 12); the cell edges are 14.900, 8.585 and 10.163 Å and the angles 90.00°, 119.32° and 90.00°. The inequivalent atoms are Rb at (0.000, 0.000, 0.000), Rb at (0.250, 0.250, 0.000), Tm at (0.000, 0.500, 0.500), Tm at (0.250, 0.250, 0.500), V at (0.000, 0.000, 0.500), Te at (0.016, 0.233, 0.314), Te at (0.218, 0.000, 0.686) and Te at (0.233, 0.500, 0.699).

As for the density of states at the Fermi level: 16.5 states/eV per cell. As for the uncorrected formation energy: -104.3 kJ per mole of atoms. As for the calculated density: 5376 kg/m³. As for the magnetic moment: 1.38 μB per formula unit.

> Look up the magnetic moment of the first one.

3.79 μB per formula unit